# 1
Material: Mg2TaBi3Pt3
Method: DFT, GGA-PBE
State: optimized geometry

Calculated density = 11.72 g/cm3
Total DFT energy (no corrections) = -98.36 eV for the cell shown
Calculated volume = 22.7 Å³/atom
Magnetic moment = 0.0 Bohr magnetons per cell

Lattice parameters (Å, degrees): 7.941 7.941 7.933 99.64 99.64 119.96
Fractional coordinates of all 18 atoms:
Mg 0.083 0.917 0.500
Mg 0.262 0.755 0.000
Mg 0.755 0.262 0.500
Mg 0.917 0.083 0.000
Ta 0.426 0.589 0.504
Ta 0.589 0.426 0.004
Bi 0.015 0.504 0.249
Bi 0.157 0.327 0.758
Bi 0.327 0.157 0.258
Bi 0.504 0.015 0.749
Bi 0.676 0.858 0.249
Bi 0.858 0.676 0.749
Pt 0.150 0.627 0.622
Pt 0.323 0.468 0.140
Pt 0.468 0.323 0.640
Pt 0.627 0.150 0.122
Pt 0.777 0.944 0.622
Pt 0.944 0.777 0.122

# 2
Material: BaSr3Ir
Method: DFT, GGA-PBE
State: optimized geometry

Calculated density = 4.29 g/cm3
Total DFT energy (no corrections) = -33.29 eV for the cell shown
Calculated volume = 45.9 Å³/atom
Magnetic moment = 0.0 Bohr magnetons per cell

Lattice parameters (Å, degrees): 8.660 8.660 7.110 90.00 90.00 120.64
Fractional coordinates of all 10 atoms:
Ba 0.087 0.913 0.500
Ba 0.913 0.087 0.000
Sr 0.079 0.427 0.523
Sr 0.411 0.589 0.047
Sr 0.427 0.079 0.023
Sr 0.573 0.921 0.523
Sr 0.589 0.411 0.547
Sr 0.921 0.573 0.023
Ir 0.249 0.751 0.272
Ir 0.751 0.249 0.772

# 3
Material: Tb2ZrN3
Method: DFT, GGA-PBE
State: optimized geometry

Calculated density = 9.04 g/cm3
Total DFT energy (no corrections) = -52.95 eV for the cell shown
Calculated volume = 13.8 Å³/atom
Magnetic moment = 0.0 Bohr magnetons per cell

Lattice parameters (Å, degrees): 3.381 3.381 8.364 90.00 90.00 120.00
Fractional coordinates of all 6 atoms:
Tb 0.333 0.667 0.330
Tb 0.667 0.333 0.670
Zr 0.000 0.000 0.000
N 0.000 0.000 0.500
N 0.333 0.667 0.849
N 0.667 0.333 0.151